Entry 1:
ErTcB4 after structural relaxation, computed with GGA-PBE.

```
data_ErTcB4
_symmetry_space_group_name_H-M 'P 6/m m m'
_symmetry_Int_Tables_number 191
_symmetry_space_group_name_Hall '-P 6 2'
_cell_length_a 3.1394
_cell_length_b 3.1394
_cell_length_c 6.9333
_cell_angle_alpha 90.00
_cell_angle_beta 90.00
_cell_angle_gamma 120.00
loop_
_atom_site_label
_atom_site_fract_x
_atom_site_fract_y
_atom_site_fract_z
Er1 0.0000 0.0000 0.0000
Tc1 0.0000 0.0000 0.5000
B1 0.3333 0.6667 0.2735
```

***

Entry 2:
BeAgPd after structural relaxation, computed with GGA-PBE.

```
data_BeAgPd
_symmetry_space_group_name_H-M 'F -4 3 m'
_symmetry_Int_Tables_number 216
_symmetry_space_group_name_Hall 'F -4 2 3'
_cell_length_a 5.569
_cell_length_b 5.569
_cell_length_c 5.569
_cell_angle_alpha 90.00
_cell_angle_beta 90.00
_cell_angle_gamma 90.00
loop_
_atom_site_label
_atom_site_fract_x
_atom_site_fract_y
_atom_site_fract_z
Be1 0.000 0.000 0.000
Ag1 0.250 0.250 0.750
Pd1 0.250 0.250 0.250
```

***

Entry 3:
SmNbBrNCl2 after structural relaxation, computed with GGA-PBE.

```
data_SmNbBrNCl2
_symmetry_space_group_name_H-M 'C 1 2/m 1'
_symmetry_Int_Tables_number 12
_cell_length_a 16.133
_cell_length_b 3.777
_cell_length_c 10.893
_cell_angle_alpha 90.00
_cell_angle_beta 118.72
_cell_angle_gamma 90.00
loop_
_symmetry_equiv_pos_as_xyz
'x,y,z'
'-x,-y,-z'
'-x,y,-z'
'x,-y,z'
'x+1/2,y+1/2,z'
'-x+1/2,-y+1/2,-z'
'-x+1/2,y+1/2,-z'
'x+1/2,-y+1/2,z'
loop_
_atom_site_label
_atom_site_fract_x
_atom_site_fract_y
_atom_site_fract_z
Sm1 0.138 0.000 0.293
Nb1 0.066 0.500 0.967
Br1 0.153 0.500 0.525
N1 0.078 0.500 0.165
Cl1 0.056 0.000 0.780
Cl2 0.202 0.000 0.093
```

***

Entry 4:
AlCuTeSe after structural relaxation, computed with GGA-PBE.

```
data_AlCuTeSe
_symmetry_space_group_name_H-M 'C 1 c 1'
_symmetry_Int_Tables_number 9
_cell_length_a 8.274
_cell_length_b 8.274
_cell_length_c 7.075
_cell_angle_alpha 90.00
_cell_angle_beta 125.11
_cell_angle_gamma 90.00
loop_
_symmetry_equiv_pos_as_xyz
'x,y,z'
'x,-y,z+1/2'
'x+1/2,y+1/2,z'
'x+1/2,-y+1/2,z+1/2'
loop_
_atom_site_label
_atom_site_fract_x
_atom_site_fract_y
_atom_site_fract_z
Al1 0.000 0.112 0.000
Cu1 0.024 0.364 0.500
Te1 0.390 0.122 0.250
Se1 0.386 0.374 0.750
```

***

Entry 5:
DyHfB4 after structural relaxation, computed with GGA-PBE.

```
data_DyHfB4
_symmetry_space_group_name_H-M 'P 6/m m m'
_symmetry_Int_Tables_number 191
_symmetry_space_group_name_Hall '-P 6 2'
_cell_length_a 3.2011
_cell_length_b 3.2011
_cell_length_c 7.3787
_cell_angle_alpha 90.00
_cell_angle_beta 90.00
_cell_angle_gamma 120.00
loop_
_atom_site_label
_atom_site_fract_x
_atom_site_fract_y
_atom_site_fract_z
Dy1 0.0000 0.0000 0.0000
Hf1 0.0000 0.0000 0.5000
B1 0.3333 0.6667 0.2676
```

***

Entry 6:
Nb4Bi3Mo2N3 after structural relaxation, computed with GGA-PBE.

```
data_Nb4Bi3Mo2N3
_symmetry_space_group_name_H-M 'C 1 2/c 1'
_symmetry_Int_Tables_number 15
_cell_length_a 10.191
_cell_length_b 5.876
_cell_length_c 13.856
_cell_angle_alpha 90.00
_cell_angle_beta 104.41
_cell_angle_gamma 90.00
loop_
_symmetry_equiv_pos_as_xyz
'x,y,z'
'-x,-y,-z'
'-x,y,-z+1/2'
'x,-y,z+1/2'
'x+1/2,y+1/2,z'
'-x+1/2,-y+1/2,-z'
'-x+1/2,y+1/2,-z+1/2'
'x+1/2,-y+1/2,z+1/2'
loop_
_atom_site_label
_atom_site_fract_x
_atom_site_fract_y
_atom_site_fract_z
Nb1 0.105 0.102 0.073
Nb2 0.233 0.070 0.427
Bi1 0.000 0.085 0.750
Bi2 0.166 0.418 0.251
Mo1 0.041 0.421 0.923
N1 0.086 0.253 0.497
N2 0.250 0.250 0.000
```

***

Table of energy (eV per atom), in record order: -7.35 -4.02 -6.21 -4.00 -7.69 -8.41